InCo2Ni2 | GGA-PBE | optimized geometry

Unit cell a=6.986 b=6.986 c=2.697 alpha=90.00 beta=90.00 gamma=90.00
Atoms (fractional coordinates):
In: 0.000 0.000 0.000
In: 0.500 0.500 0.000
Co: 0.119 0.381 0.000
Co: 0.381 0.881 0.000
Co: 0.619 0.119 0.000
Co: 0.881 0.619 0.000
Ni: 0.173 0.673 0.500
Ni: 0.327 0.173 0.500
Ni: 0.673 0.827 0.500
Ni: 0.827 0.327 0.500

Results
- Space-group type: P4/mbm, No. 127
- D(E_F): 17.10 states/eV per cell
- DFT total energy: -54.989 eV/cell
- Crystal system: tetragonal
- Offset from the most stable computed form: 4 meV/atom